Computed, not measured: a relaxed BiHN3 crystal at the GGA-PBE level of DFT.

Summary:
Symmetry ... Pm-3m, No. 221
V ... 89 Å³ per cell
Raw total energy ... -18.87 eV/f.u.
DOS at the Fermi energy ... 2.1 states/eV per cell

Geometry as POSCAR:
```
BiHN3
1.0
4.458 0.000 0.000
0.000 4.458 0.000
0.000 0.000 4.458
N H Bi
3 1 1
Cartesian
2.229 0.000 0.000 N
0.000 2.229 0.000 N
0.000 0.000 2.229 N
2.229 2.229 2.229 H
0.000 0.000 0.000 Bi
```


Computed, not measured: a relaxed BiHN crystal at the GGA-PBE level of DFT.

Summary:
Symmetry ... Pmmn, No. 59
V ... 95 Å³ per cell
Energy relative to the lowest polymorph listed for this composition ... 416 meV/atom
DOS at the Fermi energy ... 1.5 states/eV per cell

Geometry as POSCAR:
```
BiHN
1.0
-0.530 0.104 -3.430
-2.007 -4.037 0.188
-9.349 -5.379 1.283
H Bi N
2 2 2
Cartesian
-2.379 -1.650 0.237 H
-4.760 -3.053 -1.195 H
-7.634 -6.571 0.900 Bi
-1.512 -2.169 -1.670 Bi
-9.261 -5.831 -0.583 N
-7.227 -4.251 0.908 N
```


Computed, not measured: a relaxed NbBiH2N crystal at the GGA-PBE level of DFT.

Summary:
Symmetry ... P4/mmm, No. 123
V ... 75 Å³ per cell
Raw total energy ... -24.35 eV/f.u.
DOS at the Fermi energy ... 3.3 states/eV per cell

Geometry as POSCAR:
```
NbBiH2N
1.0
-2.980 1.018 1.684
0.005 -3.053 1.853
3.259 2.565 4.217
H Nb Bi N
2 1 1 1
Cartesian
0.002 -1.526 0.927 H
-1.490 0.509 0.842 H
0.000 0.000 0.000 Nb
1.629 1.282 2.109 Bi
0.142 0.265 3.877 N
```


Computed, not measured: a relaxed Pa2Bi2HN crystal at the GGA-PBE level of DFT.

Summary:
Symmetry ... Ibam, No. 72
V ... 251 Å³ per cell
Raw total energy ... -42.72 eV/f.u.
DOS at the Fermi energy ... 7.3 states/eV per cell

Geometry as POSCAR:
```
Pa2Bi2HN
1.0
5.813 0.000 0.000
0.000 5.774 0.000
-2.907 -2.887 7.492
Pa Bi H N
4 4 2 2
Cartesian
1.579 2.887 1.191 Pa
4.234 0.000 1.191 Pa
1.328 0.000 6.302 Pa
-1.328 2.887 6.302 Pa
4.467 2.887 2.681 Bi
1.561 2.887 4.812 Bi
-1.561 0.000 4.812 Bi
1.346 0.000 2.681 Bi
0.000 1.444 0.000 H
0.000 4.331 0.000 H
2.907 4.331 0.000 N
2.907 1.444 0.000 N
```


Computed, not measured: a relaxed BiHSN2 crystal at the GGA-PBE level of DFT.

Summary:
Symmetry ... P4/mmm, No. 123
V ... 109 Å³ per cell
Energy relative to the lowest polymorph listed for this composition ... 441 meV/atom
DOS at the Fermi energy ... 2.0 states/eV per cell

Geometry as POSCAR:
```
BiHSN2
1.0
4.543 0.000 0.000
0.000 4.543 0.000
0.000 0.000 5.288
S N Bi H
1 2 1 1
Cartesian
0.000 0.000 2.644 S
2.272 0.000 0.000 N
0.000 2.272 0.000 N
0.000 0.000 0.000 Bi
2.272 2.272 2.644 H
```


Computed, not measured: a relaxed BiHS2N crystal at the GGA-PBE level of DFT.

Summary:
Symmetry ... P4/mmm, No. 123
V ... 133 Å³ per cell
Energy relative to the lowest polymorph listed for this composition ... 640 meV/atom
DOS at the Fermi energy ... 5.8 states/eV per cell

Geometry as POSCAR:
```
BiHS2N
1.0
-4.325 0.836 -2.943
1.883 -3.289 -3.702
-2.150 -3.627 2.129
H S Bi N
1 2 1 1
Cartesian
-2.296 -3.040 -2.258 H
-2.162 0.418 -1.472 S
0.942 -1.644 -1.851 S
0.000 0.000 0.000 Bi
-1.075 -1.814 1.064 N
```


Computed, not measured: a relaxed BiHSN2 crystal at the GGA-PBE level of DFT.

Summary:
Symmetry ... P4/mmm, No. 123
V ... 59 Å³ per cell
Energy relative to the lowest polymorph listed for this composition ... 0 meV/atom
DOS at the Fermi energy ... 2.2 states/eV per cell

Geometry as POSCAR:
```
BiHSN2
1.0
4.296 0.000 0.000
0.000 4.296 0.000
0.000 0.000 3.213
Bi S H N
1 1 1 2
Cartesian
2.148 2.148 1.606 Bi
0.000 0.000 1.606 S
0.000 0.000 0.000 H
0.000 2.148 0.000 N
2.148 0.000 0.000 N
```


Computed, not measured: a relaxed BiHS2N crystal at the GGA-PBE level of DFT.

Summary:
Symmetry ... P4/mmm, No. 123
V ... 83 Å³ per cell
Energy relative to the lowest polymorph listed for this composition ... 0 meV/atom
DOS at the Fermi energy ... 2.2 states/eV per cell

Geometry as POSCAR:
```
BiHS2N
1.0
-3.437 0.629 -0.365
-0.614 -1.570 3.082
0.742 5.874 3.141
S Bi H N
2 1 1 1
Cartesian
-0.307 -0.785 1.541 S
-1.719 0.314 -0.182 S
-1.655 2.466 2.929 Bi
0.000 0.000 0.000 H
0.371 2.937 1.570 N
```